## w
PBE LaPW3, optimized geometry; total magnetic moment = 0.00 μB per formula unit; crystal system = cubic
1.0
4.8601 0.0000 0.0000
0.0000 4.8601 0.0000
0.0000 0.0000 4.8601
P W La
1 3 1
direct
0.5000 0.5000 0.5000 P
0.5000 0.0000 0.0000 W
0.0000 0.0000 0.5000 W
0.0000 0.5000 0.0000 W
0.0000 0.0000 0.0000 La


## x
PBE LaPW3, optimized geometry; total magnetic moment = 0.00 μB per formula unit; crystal system = cubic
1.0
-1.1875 -3.7026 2.5258
1.7760 -2.7877 -3.2517
4.1152 0.1347 2.1322
La W P
1 3 1
direct
0.5000 0.5000 0.5000 La
0.5000 0.0000 0.0000 W
0.0000 0.5000 0.0000 W
0.0000 0.0000 0.5000 W
0.0000 0.0000 0.0000 P


The structure with the greatest stability is x.


## w
PBE LaY2P, optimized geometry; total magnetic moment = 0.00 μB per formula unit; crystal system = tetragonal
1.0
-2.2636 2.2636 5.0832
2.2636 -2.2636 5.0832
2.2636 2.2636 -5.0832
Y P La
2 1 1
direct
0.0000 0.0000 0.0000 Y
0.2500 0.7500 0.5000 Y
0.7500 0.2500 0.5000 P
0.5000 0.5000 0.0000 La


## x
PBE LaY2P, optimized geometry; total magnetic moment = 0.00 μB per formula unit; crystal system = cubic
1.0
2.8044 -2.7242 3.5849
-1.7551 -0.4055 4.9893
-1.8077 -4.6485 1.8061
Y La P
2 1 1
direct
0.7500 0.7500 0.7500 Y
0.0000 0.0000 0.0000 Y
0.5000 0.5000 0.5000 La
0.2500 0.2500 0.2500 P


The structure with the greatest stability is w.


## w
PBE LaY2P, optimized geometry; total magnetic moment = 0.15 μB per formula unit; crystal system = tetragonal
1.0
-3.4159 1.5449 0.2621
-1.2917 -2.4205 -2.5683
-1.8716 -5.1159 5.7628
Y La P
2 1 1
direct
0.5000 0.5000 0.2200 Y
0.0000 0.0000 0.9369 Y
0.0000 0.0000 0.5480 La
0.5000 0.5000 0.7951 P


## x
PBE LaY2P, optimized geometry; total magnetic moment = 0.00 μB per formula unit; crystal system = orthorhombic
1.0
1.1343 -2.9292 5.8376
4.6145 2.2863 4.1741
-5.5595 1.1920 -3.4082
La Y P
1 2 1
direct
0.0000 0.5000 0.5000 La
0.3134 0.3134 0.0000 Y
0.6866 0.6866 0.0000 Y
0.5000 0.0000 0.5000 P


The structure with the greatest stability is x.


## w
PBE La3YP, optimized geometry; total magnetic moment = 0.00 μB per formula unit; crystal system = cubic
1.0
-5.3701 -1.6902 -0.8304
1.2185 -5.0320 2.3617
-1.4358 2.0509 5.1104
P La Y
1 3 1
direct
0.0000 0.0000 0.0000 P
0.0000 0.0000 0.5000 La
0.5000 0.0000 0.0000 La
0.0000 0.5000 0.0000 La
0.5000 0.5000 0.5000 Y


## x
PBE La3YP, optimized geometry; total magnetic moment = 0.00 μB per formula unit; crystal system = cubic
1.0
5.6309 0.0000 0.0000
0.0000 5.6309 0.0000
0.0000 0.0000 5.6309
P La Y
1 3 1
direct
0.5000 0.5000 0.5000 P
0.0000 0.5000 0.0000 La
0.0000 0.0000 0.5000 La
0.5000 0.0000 0.0000 La
0.0000 0.0000 0.0000 Y


The structure with the greatest stability is w.